Entry from the Alexandria database: a relaxed structure of ScAl3As (PBE).

## Properties
- symmetry = Pm-3m
- E above lowest polymorph (eV/f.u.) = 0.00

```
ScAl3As
1.0
4.8753 0.0000 0.0000
0.0000 4.8753 0.0000
0.0000 0.0000 4.8753
Sc Al As
1 3 1
Cartesian
0.0000 0.0000 0.0000
0.0000 2.4376 2.4376
2.4376 0.0000 2.4376
2.4376 2.4376 0.0000
2.4376 2.4376 2.4376
```

---

Entry from the Alexandria database: a relaxed structure of Sc2AlAs (PBE).

## Properties
- symmetry = Imm2
- total DFT energy (no corrections) (eV for the cell shown) = -47.61

```
Sc2AlAs
1.0
3.7320 0.0000 0.0000
0.0000 4.2227 0.0000
0.0000 0.0000 9.7817
Sc Al As
4 2 2
Cartesian
0.0000 0.0000 0.0000
0.0000 2.1114 2.3648
1.8660 0.0000 7.2556
1.8660 2.1114 4.8909
0.0000 2.1114 7.5047
1.8660 0.0000 2.6138
0.0000 0.0000 4.7779
1.8660 2.1114 9.6687
```

---

Entry from the Alexandria database: a relaxed structure of Sc2AlAs (PBE).

## Properties
- symmetry = Fm-3m
- total DFT energy (no corrections) (eV for the cell shown) = -91.89

```
Sc2AlAs
1.0
6.8101 0.0000 0.0000
0.0000 6.8101 0.0000
0.0000 0.0000 6.8101
Sc Al As
8 4 4
Cartesian
1.7025 1.7025 1.7025
1.7025 1.7025 5.1076
1.7025 5.1076 1.7025
1.7025 5.1076 5.1076
5.1076 1.7025 1.7025
5.1076 1.7025 5.1076
5.1076 5.1076 1.7025
5.1076 5.1076 5.1076
0.0000 0.0000 0.0000
0.0000 3.4051 3.4051
3.4051 0.0000 3.4051
3.4051 3.4051 0.0000
0.0000 0.0000 3.4051
0.0000 3.4051 0.0000
3.4051 0.0000 0.0000
3.4051 3.4051 3.4051
```

---

Calculated values (states/eV per atom) of density of states at the Fermi level for the records, taken in order: 0.86, 0.51, 1.00.